# CrPdSeO2

A relaxed structure of CrPdSeO2 (PBE with a Hubbard U, Alexandria).

For the uncorrected energy, the calculation gives -5.752 eV/atom.

The structure belongs to space group P4/mmm (No. 123); the cell edges are 3.6217, 3.6217 and 6.5885 Å and the angles 90.00°, 90.00° and 90.00°. Symmetry generates all atoms from Cr at (0.0000, 0.0000, 0.0000), Pd at (0.0000, 0.0000, 0.5000), Se at (0.5000, 0.5000, 0.5000) and O at (0.0000, 0.5000, 0.0000).